TePb2Se2, relaxed, DFT GGA-PBE; ρ = 7888 kg/m³; formation energy (no corrections) = -189 meV/atom
1.0
4.263 0.000 0.000
0.000 4.263 0.000
0.000 0.000 16.212
Te Pb Se
2 4 4
Direct
0.000 0.000 0.000
0.500 0.500 0.500
0.000 0.000 0.392
0.000 0.000 0.608
0.500 0.500 0.108
0.500 0.500 0.892
0.000 0.500 0.250
0.000 0.500 0.750
0.500 0.000 0.250
0.500 0.000 0.750

***

Te4PbSe, relaxed, DFT GGA-PBE; ρ = 7302 kg/m³; formation energy (no corrections) = 362 meV/atom
1.0
0.000 4.491 4.491
4.491 0.000 4.491
4.491 4.491 0.000
Te Pb Se
4 1 1
Direct
0.376 0.376 0.376
0.376 0.376 0.872
0.376 0.872 0.376
0.872 0.376 0.376
0.000 0.000 0.000
0.750 0.750 0.750